(1)
First-principles (GGA-PBE) data for PrTlPd after structural relaxation, as listed in the Open Quantum Materials Database.

## Properties
DFT total energy ... -26.2 eV per cell
Magnetization ... 0.02 μB per formula unit
Energy above the lowest structure with this stoichiometry ... 1.13 eV per formula unit

Cell: 5.2195 5.2195 6.3541 Å, 90.00 90.00 120.00°
Space group P6_3/mmc (No. 194)
Asymmetric unit:
Pr1 0.3333 0.6667 0.2500 (multiplicity 2)
Tl1 0.3333 0.6667 0.7500 (multiplicity 2)
Pd1 0.0000 0.0000 0.0000 (multiplicity 2)

***

(2)
First-principles (GGA-PBE) data for PrTlPd after structural relaxation, as listed in the Open Quantum Materials Database.

## Properties
DFT total energy ... -39.1 eV per cell
Magnetization ... 0.00 μB per formula unit
Energy above the lowest structure with this stoichiometry ... 1.22 eV per formula unit

Cell: 8.4896 8.4896 3.5224 Å, 90.00 90.00 120.00°
Space group P-62m (No. 189)
Asymmetric unit:
Pr1 0.0000 0.2972 0.0000 (multiplicity 3)
Tl1 0.0000 0.0000 0.5000 (multiplicity 1)
Tl2 0.3333 0.6667 0.0000 (multiplicity 2)
Pd1 0.0000 0.6391 0.5000 (multiplicity 3)

***

(3)
First-principles (GGA-PBE) data for PrTlPd after structural relaxation, as listed in the Open Quantum Materials Database.

## Properties
DFT total energy ... -49.7 eV per cell
Magnetization ... 0.01 μB per formula unit
Energy above the lowest structure with this stoichiometry ... 1.81 eV per formula unit

Cell: 7.0874 7.0874 7.0874 Å, 90.00 90.00 90.00°
Space group F-43m (No. 216)
Asymmetric unit:
Pr1 0.0000 0.0000 0.0000 (multiplicity 4)
Tl1 0.2500 0.2500 0.2500 (multiplicity 4)
Pd1 0.2500 0.2500 0.7500 (multiplicity 4)